Compound: VOF
Source: Alexandria via LeMat-Bulk
Functional: PBE with a Hubbard U
Structure: optimized geometry

Summary:
**Uncorrected energy**: -7.16 eV/atom
**Space-group type**: No. 14
**Calculated volume**: 11.60 A^3/atom

Lattice parameters (Å, degrees): 5.2090 4.7021 5.6873 90.00 87.73 90.00
Last column: nearest neighbours and their distance in Å.
Fractional positions:
O (0.0813, 0.2208, 0.8811)  3 V 1.89-2.01
V (0.7774, 0.5174, 0.3418)  3 O 1.89-2.01
V (0.2226, 0.4826, 0.6582)  3 O 1.89-2.01
O (0.9187, 0.7792, 0.1189)  3 V 1.89-2.01
V (0.2226, 0.0174, 0.1582)  3 O 1.89-2.01
F (0.5819, 0.2301, 0.1104)  3 V 2.13-2.17
O (0.9187, 0.7208, 0.6189)  3 V 1.89-2.01
F (0.5819, 0.2699, 0.6104)  3 V 2.13-2.17
V (0.7774, 0.9826, 0.8418)  3 O 1.89-2.01
F (0.4181, 0.7301, 0.3896)  3 V 2.13-2.17
F (0.4181, 0.7699, 0.8896)  3 V 2.13-2.17
O (0.0813, 0.2792, 0.3811)  3 V 1.89-2.01